Entry from the Alexandria database: a relaxed structure of CrTcRuO6 (PBE+U).

space group	P-31c
calculated total energy	-137.74	eV/cell

a b c (Å): 4.991 4.991 8.808
angles (deg): 90.00 90.00 120.00
Last column: magnetic moment on the atom in μB.
Positions (direct):
Ru 0.000 0.000 0.500  0.95
Ru 0.000 0.000 0.000  0.95
O 0.007 0.670 0.873  0.01
O 0.670 0.007 0.373  0.01
O 0.330 0.337 0.873  0.01
O 0.007 0.337 0.627  0.01
O 0.663 0.993 0.873  0.01
O 0.663 0.670 0.627  0.01
O 0.993 0.663 0.373  0.01
O 0.670 0.663 0.127  0.01
O 0.330 0.993 0.627  0.01
O 0.337 0.007 0.127  0.01
O 0.993 0.330 0.127  0.01
O 0.337 0.330 0.373  0.01
Tc 0.333 0.667 0.750  -1.03
Tc 0.667 0.333 0.250  -1.03
Cr 0.333 0.667 0.250  2.89
Cr 0.667 0.333 0.750  2.89